[1]
A relaxed Li4ZnSiPt2 crystal. Source: OQMD, functional PBE-GGA.

Properties
Energy in eV per atom: -3.9297
Magnetization in μB per formula unit: 0.00

Unit cell a=4.231 b=4.231 c=5.925 alpha=90.00 beta=90.00 gamma=90.00
Space group P-4m2 (No. 115)
One atom of each set of equivalent atoms:
Li  0.000  0.000  0.000 (multiplicity 1)
Li  0.000  0.500  0.748 (multiplicity 2)
Li  0.500  0.500  0.500 (multiplicity 1)
Zn  0.000  0.000  0.500 (multiplicity 1)
Si  0.500  0.500  0.000 (multiplicity 1)
Pt  0.000  0.500  0.223 (multiplicity 2)


[2]
A relaxed HfTc2 crystal. Source: OQMD, functional PBE-GGA.

Properties
Energy in eV per atom: -10.5860
Energy relative to the lowest polymorph listed for this composition in eV per atom: 0.0000
Magnetization in μB per formula unit: 0.00
Energy of formation in eV/atom: -0.36

Unit cell a=5.2049 b=5.2049 c=8.6629 alpha=90.00 beta=90.00 gamma=120.00
Space group P6_3/mmc (No. 194)
One atom of each set of equivalent atoms:
Hf  0.3333  0.6667  0.0630 (multiplicity 4)
Tc  0.0000  0.0000  0.0000 (multiplicity 2)
Tc  0.1722  0.3443  0.7500 (multiplicity 6)


[3]
A relaxed BaP4W2 crystal. Source: OQMD, functional PBE-GGA.

Properties
Energy in eV per atom: -7.3618
Magnetization in μB per formula unit: 0.02

Unit cell a=5.692 b=10.263 c=20.419 alpha=90.00 beta=90.00 gamma=90.00
Space group Fddd (No. 70, origin choice 2)
One atom of each set of equivalent atoms:
Ba  0.125  0.125  0.125 (multiplicity 8)
P  0.071  0.316  0.567 (multiplicity 32)
W  0.125  0.125  0.504 (multiplicity 16)